1.
# RbGeTe3As

A relaxed RbGeTe3As crystal (PBE-GGA, Alexandria via LeMat-Bulk).

Output
- Total DFT energy (no corrections): -3.6110 eV per atom
- SG: P2_1/m (11)

Geometry as POSCAR:
```
RbGeTe3As
1.0
-0.727 2.810 -3.020
5.401 -4.992 -5.945
-11.195 -3.214 -0.297
Te As Ge Rb
6 2 2 2
direct
0.250 0.669 0.420
0.750 0.406 0.100
0.250 0.594 0.900
0.750 0.331 0.580
0.250 0.130 0.790
0.750 0.870 0.210
0.750 0.365 0.850
0.250 0.635 0.150
0.750 0.882 0.447
0.250 0.118 0.553
0.250 0.231 0.280
0.750 0.769 0.720
```

=====

2.
# Dy2Al3Au4

A relaxed Dy2Al3Au4 crystal (PBE-GGA, Alexandria via LeMat-Bulk).

Output
- Total DFT energy (no corrections): -4.4260 eV per atom
- DOS(E_F): 0.51 states/eV per atom
- Energy relative to the lowest polymorph listed for this composition: 0.0045 eV per atom
- DFT formation energy: -699 meV/atom
- SG: Cmce (64)

Geometry as POSCAR:
```
Dy2Al3Au4
1.0
-0.993 4.478 3.562
-4.302 -4.544 4.512
6.870 -4.138 2.383
Dy Al Au
4 6 8
direct
0.395 0.096 0.790
0.105 0.596 0.210
0.605 0.904 0.210
0.895 0.404 0.790
0.480 0.250 0.461
0.000 0.000 0.000
0.500 0.500 0.000
0.520 0.750 0.539
0.980 0.250 0.461
0.020 0.750 0.539
0.810 0.250 0.119
0.190 0.750 0.881
0.179 0.972 0.358
0.679 0.528 0.358
0.690 0.750 0.881
0.310 0.250 0.119
0.321 0.472 0.642
0.821 0.028 0.642
```

=====

3.
# RbTcNiAs3

A relaxed RbTcNiAs3 crystal (PBE-GGA, Alexandria via LeMat-Bulk).

Output
- Total DFT energy (no corrections): -5.4436 eV per atom
- DOS(E_F): 0.50 states/eV per atom
- DFT formation energy: -266 meV/atom
- SG: P2_1/m (11)

Geometry as POSCAR:
```
RbTcNiAs3
1.0
3.928 0.000 0.000
0.000 8.323 -1.148
0.000 -3.323 9.144
Ni Rb As Tc
2 2 6 2
direct
0.250 0.090 0.595
0.750 0.910 0.405
0.750 0.730 0.739
0.250 0.270 0.261
0.250 0.773 0.449
0.750 0.499 0.100
0.250 0.501 0.900
0.250 0.112 0.849
0.750 0.227 0.551
0.750 0.888 0.151
0.250 0.738 0.187
0.750 0.262 0.813
```

=====

4.
# Mg2BePb

A relaxed Mg2BePb crystal (PBE-GGA, Alexandria via LeMat-Bulk).

Output
- Total DFT energy (no corrections): -2.3204 eV per atom
- DOS(E_F): 0.08 states/eV per atom
- Energy relative to the lowest polymorph listed for this composition: 0.2090 eV per atom
- DFT formation energy: 335 meV/atom
- SG: Fm-3m (225)

Geometry as POSCAR:
```
Mg2BePb
1.0
0.000 3.471 3.471
3.471 0.000 3.471
3.471 3.471 0.000
Pb Mg Be
1 2 1
direct
0.500 0.500 0.500
0.250 0.250 0.250
0.750 0.750 0.750
0.000 0.000 0.000
```

=====

5.
# SiIrI2O

A relaxed SiIrI2O crystal (PBE-GGA, Alexandria via LeMat-Bulk).

Output
- Total DFT energy (no corrections): -4.1617 eV per atom
- DOS(E_F): 0.60 states/eV per atom
- Energy relative to the lowest polymorph listed for this composition: 0.0151 eV per atom
- SG: P4/mmm (123)

Geometry as POSCAR:
```
SiIrI2O
1.0
5.623 0.000 0.000
0.000 5.623 0.000
0.000 0.000 3.746
O I Ir Si
1 2 1 1
direct
0.000 0.000 0.500
0.500 0.000 0.000
0.000 0.500 0.000
0.000 0.000 0.000
0.500 0.500 0.500
```

=====

6.
# Sm2MgBe3Pt4

A relaxed Sm2MgBe3Pt4 crystal (PBE-GGA, Alexandria via LeMat-Bulk).

Output
- Total DFT energy (no corrections): -5.5019 eV per atom
- DOS(E_F): 0.27 states/eV per atom
- DFT formation energy: -864 meV/atom
- SG: P-4m2 (115)

Geometry as POSCAR:
```
Sm2MgBe3Pt4
1.0
4.056 0.000 0.000
0.000 4.056 0.000
0.000 0.000 10.288
Be Pt Sm Mg
3 4 2 1
direct
0.000 0.500 0.114
0.000 0.000 0.500
0.500 0.000 0.886
0.500 0.000 0.655
0.000 0.000 0.000
0.000 0.500 0.345
0.500 0.500 0.000
0.500 0.000 0.236
0.000 0.500 0.764
0.500 0.500 0.500
```

=====

> total DFT energy (no corrections) of number 4 (Mg2BePb)?

-2.3204 eV per atom

=====

> Among the records above, which one has the lowest total DFT energy (no corrections)?

Sm2MgBe3Pt4

=====

> The lowest total DFT energy (no corrections) belongs to which entry?

Sm2MgBe3Pt4